[1]
{"formula": "K3Tm3NbS8", "functional": "GGA-PBE", "state": "relaxed", "cell": [[7.767, 0.000, 0.000], [-3.883, 6.727, -0.027], [0.000, -4.455, 7.530]], "species": ["Nb", "K", "K", "K", "S", "S", "S", "S", "S", "S", "S", "S", "Tm", "Tm", "Tm"], "frac_coords": [[0.000, 0.000, 0.500], [0.000, 0.500, 0.000], [0.000, 0.000, 0.000], [0.500, 0.500, 0.000], [0.251, 0.030, 0.310], [0.221, 0.442, 0.691], [0.779, 0.030, 0.310], [0.221, 0.970, 0.690], [0.733, 0.467, 0.700], [0.779, 0.558, 0.309], [0.267, 0.533, 0.300], [0.749, 0.970, 0.690], [0.500, 0.500, 0.500], [0.000, 0.500, 0.500], [0.500, 0.000, 0.500]], "vol_a3_per_atom": 26.17, "sg": "No. 166", "e_tot_ev_per_atom": -5.653}

***

[2]
{"formula": "KTcSn2Hg", "functional": "GGA-PBE", "state": "relaxed", "cell": [[5.160, 0.000, 0.000], [0.000, 5.160, 0.000], [0.000, 0.000, 5.537]], "species": ["Sn", "Sn", "K", "Tc", "Hg"], "frac_coords": [[0.000, 0.500, 0.000], [0.500, 0.000, 0.000], [0.500, 0.500, 0.500], [0.000, 0.000, 0.000], [0.000, 0.000, 0.500]], "vol_a3_per_atom": 29.49, "sg": "No. 123", "e_form_ev_per_atom": -0.0162, "e_tot_ev_per_atom": -3.970}

***

[3]
{"formula": "YErMgNi", "functional": "GGA-PBE", "state": "relaxed", "cell": [[-1.659, -4.505, -1.517], [2.816, -4.104, 0.755], [-1.417, -3.435, 3.397]], "species": ["Er", "Y", "Mg", "Ni"], "frac_coords": [[0.750, 0.750, 0.750], [0.250, 0.250, 0.250], [0.500, 0.500, 0.500], [0.000, 0.000, 0.000]], "vol_a3_per_atom": 22.56, "sg": "No. 216", "e_above_lowest_polymorph_ev_per_atom": 0.1331, "e_form_ev_per_atom": -0.1247, "e_tot_ev_per_atom": -4.725}

***

[4]
{"formula": "Cd2BiC", "functional": "GGA-PBE", "state": "relaxed", "cell": [[0.000, 3.514, 3.514], [3.514, 0.000, 3.514], [3.514, 3.514, 0.000]], "species": ["Cd", "Cd", "C", "Bi"], "frac_coords": [[0.250, 0.250, 0.250], [0.750, 0.750, 0.750], [0.000, 0.000, 0.000], [0.500, 0.500, 0.500]], "vol_a3_per_atom": 21.70, "sg": "No. 225", "e_above_lowest_polymorph_ev_per_atom": 0.4520, "e_form_ev_per_atom": 1.4589, "e_tot_ev_per_atom": -2.275}